Material: Tb5Nd2Tm3
Method: DFT, PBE-GGA
State: optimized geometry

a = 9.5842 Å, b = 9.5842 Å, c = 9.3834 Å
α = 108.20°, β = 108.20°, γ = 112.45°
Closest atoms and distances in Å follow each position.
Fractional positions:
Tb  0.0302  0.9698  0.7500  1 Tb 3.13, 4 Tm 3.32-3.48
Tb  0.1136  0.3444  0.7147  3 Tm 3.42-3.60, 2 Nd 3.44-3.69, 3 Tb 3.52-3.70
Tb  0.2269  0.7731  0.7500  1 Tb 3.13, 2 Nd 3.29
Tb  0.2679  0.7321  0.2500  5 Tm 3.31-3.51, 2 Nd 3.46, 2 Tb 3.59
Tb  0.3444  0.1136  0.2147  3 Tm 3.42-3.60, 2 Nd 3.44-3.69, 3 Tb 3.52-3.70
Tb  0.6556  0.8864  0.7853  3 Tm 3.42-3.60, 2 Nd 3.44-3.69, 3 Tb 3.52-3.70
Tb  0.7321  0.2679  0.7500  5 Tm 3.31-3.51, 2 Nd 3.46, 2 Tb 3.59
Tb  0.7731  0.2269  0.2500  1 Tb 3.13, 2 Nd 3.29
Tb  0.8864  0.6556  0.2853  3 Tm 3.42-3.60, 2 Nd 3.44-3.69, 3 Tb 3.52-3.70
Tb  0.9698  0.0302  0.2500  1 Tb 3.13, 4 Tm 3.32-3.48
Nd  0.2342  0.4854  0.4536  3 Tm 3.15-3.42, 4 Tb 3.29-3.53
Nd  0.4854  0.2342  0.9536  3 Tm 3.15-3.42, 4 Tb 3.29-3.53
Nd  0.5146  0.7658  0.0464  3 Tm 3.15-3.42, 4 Tb 3.29-3.53
Nd  0.7658  0.5146  0.5464  3 Tm 3.15-3.42, 4 Tb 3.29-3.53
Tm  0.0398  0.2782  0.0476  1 Nd 3.15, 5 Tb 3.31-3.51, 1 Tm 3.37
Tm  0.2782  0.0398  0.5476  1 Nd 3.15, 5 Tb 3.31-3.51, 1 Tm 3.37
Tm  0.4756  0.5244  0.2500  3 Tb 3.31-3.51, 4 Nd 3.32-3.42, 2 Tm 3.37
Tm  0.5244  0.4756  0.7500  3 Tb 3.31-3.51, 4 Nd 3.32-3.42, 2 Tm 3.37
Tm  0.7218  0.9602  0.4524  1 Nd 3.15, 5 Tb 3.31-3.51, 1 Tm 3.37
Tm  0.9602  0.7218  0.9524  1 Nd 3.15, 5 Tb 3.31-3.51, 1 Tm 3.37

Summary:
- uncorrected energy (eV per atom) = -4.415
- ρ (g cm⁻³) = 8.01
- symmetry = C2/c
- E_form (eV per atom) = 0.195
- E above lowest polymorph (meV per atom) = 0
- N(E_F) (states/eV/cell) = 35.313

Material: TbNd7Tm12
Method: DFT, PBE-GGA
State: optimized geometry

a = 9.7096 Å, b = 9.7096 Å, c = 9.7096 Å
α = 109.47°, β = 109.47°, γ = 109.47°
Closest atoms and distances in Å follow each position.
Fractional positions:
Tb  0.0000  0.0000  0.0000  12 Tm 3.91
Nd  0.0000  0.0000  0.5000  6 Tm 2.80
Nd  0.0000  0.5000  0.0000  6 Tm 2.80
Nd  0.0000  0.5000  0.5000  12 Tm 3.96-4.01
Nd  0.5000  0.0000  0.0000  6 Tm 2.80
Nd  0.5000  0.0000  0.5000  12 Tm 3.96-4.01
Nd  0.5000  0.5000  0.0000  12 Tm 3.96-4.01
Nd  0.5000  0.5000  0.5000  6 Tm 2.80
Tm  0.0007  0.7535  0.2471  2 Nd 2.80
Tm  0.2465  0.2471  0.4936  2 Nd 2.80
Tm  0.2465  0.7529  0.9993  2 Nd 2.80
Tm  0.2471  0.0007  0.7535  2 Nd 2.80
Tm  0.2471  0.4936  0.2465  2 Nd 2.80
Tm  0.4936  0.2465  0.2471  2 Nd 2.80
Tm  0.5064  0.7535  0.7529  2 Nd 2.80
Tm  0.7529  0.5064  0.7535  2 Nd 2.80
Tm  0.7529  0.9993  0.2465  2 Nd 2.80
Tm  0.7535  0.2471  0.0007  2 Nd 2.80
Tm  0.7535  0.7529  0.5064  2 Nd 2.80
Tm  0.9993  0.2465  0.7529  2 Nd 2.80

Summary:
- uncorrected energy (eV per atom) = -3.923
- ρ (g cm⁻³) = 7.53
- symmetry = Im-3
- E_form (eV per atom) = 0.660
- E above lowest polymorph (meV per atom) = 430
- N(E_F) (states/eV/cell) = 28.811

Material: Tb2NdTm
Method: DFT, PBE-GGA
State: optimized geometry

a = 5.0413 Å, b = 5.0413 Å, c = 5.0698 Å
α = 90.00°, β = 90.00°, γ = 90.00°
Closest atoms and distances in Å follow each position.
Fractional positions:
Tb  0.0000  0.5000  0.0000  4 Tb 3.56, 4 Nd 3.57, 4 Tm 3.57
Tb  0.5000  0.0000  0.0000  4 Tb 3.56, 4 Nd 3.57, 4 Tm 3.57
Nd  0.0000  0.0000  0.5000  4 Tm 3.56, 8 Tb 3.57
Tm  0.5000  0.5000  0.5000  4 Nd 3.56, 8 Tb 3.57

Summary:
- uncorrected energy (eV per atom) = -4.604
- ρ (g cm⁻³) = 8.13
- symmetry = P4/mmm
- E_form (eV per atom) = 0.021
- E above lowest polymorph (meV per atom) = 2
- N(E_F) (states/eV/cell) = 6.025

Material: Tb8NdTm4
Method: DFT, PBE-GGA
State: optimized geometry

a = 10.0040 Å, b = 10.0040 Å, c = 10.0040 Å
α = 42.56°, β = 42.56°, γ = 42.56°
Closest atoms and distances in Å follow each position.
Fractional positions:
Tb  0.1980  0.7507  0.7507  1 Nd 2.94, 2 Tb 3.25
Tb  0.2178  0.2178  0.2178  9 Tb 3.66-3.71, 3 Tm 3.78
Tb  0.2493  0.2493  0.8020  1 Nd 2.94, 2 Tb 3.25
Tb  0.2493  0.8020  0.2493  1 Nd 2.94, 2 Tb 3.25
Tb  0.7507  0.1980  0.7507  1 Nd 2.94, 2 Tb 3.25
Tb  0.7507  0.7507  0.1980  1 Nd 2.94, 2 Tb 3.25
Tb  0.7822  0.7822  0.7822  9 Tb 3.66-3.71, 3 Tm 3.78
Tb  0.8020  0.2493  0.2493  1 Nd 2.94, 2 Tb 3.25
Nd  0.5000  0.5000  0.5000  6 Tb 2.94
Tm  0.0000  0.0000  0.0000  6 Tb 3.31, 6 Tm 3.63
Tm  0.0000  0.5000  0.5000  6 Tb 3.52-3.78, 6 Tm 3.63
Tm  0.5000  0.0000  0.5000  6 Tb 3.52-3.78, 6 Tm 3.63
Tm  0.5000  0.5000  0.0000  6 Tb 3.52-3.78, 6 Tm 3.63

Summary:
- uncorrected energy (eV per atom) = -4.395
- ρ (g cm⁻³) = 8.37
- symmetry = R-3m
- E_form (eV per atom) = 0.197
- N(E_F) (states/eV/cell) = 14.558

Material: TbNd12Tm3
Method: DFT, PBE-GGA
State: optimized geometry

a = 5.1443 Å, b = 5.1443 Å, c = 20.5225 Å
α = 90.00°, β = 90.00°, γ = 90.00°
Closest atoms and distances in Å follow each position.
Fractional positions:
Tb  0.0000  0.0000  0.0000  12 Nd 3.64-3.65
Nd  0.0000  0.5000  0.1259  2 Tm 3.63, 8 Nd 3.63-3.65, 2 Tb 3.65
Nd  0.0000  0.5000  0.3753  8 Nd 3.62-3.64, 4 Tm 3.63
Nd  0.0000  0.5000  0.6247  8 Nd 3.62-3.64, 4 Tm 3.63
Nd  0.0000  0.5000  0.8741  2 Tm 3.63, 8 Nd 3.63-3.65, 2 Tb 3.65
Nd  0.5000  0.0000  0.1259  2 Tm 3.63, 8 Nd 3.63-3.65, 2 Tb 3.65
Nd  0.5000  0.0000  0.3753  8 Nd 3.62-3.64, 4 Tm 3.63
Nd  0.5000  0.0000  0.6247  8 Nd 3.62-3.64, 4 Tm 3.63
Nd  0.5000  0.0000  0.8741  2 Tm 3.63, 8 Nd 3.63-3.65, 2 Tb 3.65
Nd  0.5000  0.5000  0.0000  4 Tb 3.64, 8 Nd 3.65
Nd  0.5000  0.5000  0.2509  8 Nd 3.62-3.63, 4 Tm 3.64
Nd  0.5000  0.5000  0.5000  8 Nd 3.63, 4 Tm 3.64
Nd  0.5000  0.5000  0.7491  8 Nd 3.62-3.63, 4 Tm 3.64
Tm  0.0000  0.0000  0.2508  12 Nd 3.63-3.64
Tm  0.0000  0.0000  0.5000  12 Nd 3.63-3.64
Tm  0.0000  0.0000  0.7492  12 Nd 3.63-3.64

Summary:
- uncorrected energy (eV per atom) = -4.690
- ρ (g cm⁻³) = 7.33
- symmetry = P4/mmm
- E_form (eV per atom) = 0.014
- N(E_F) (states/eV/cell) = 23.712

Material: Tb7Nd12Tm
Method: DFT, PBE-GGA
State: optimized geometry

a = 8.8452 Å, b = 8.8452 Å, c = 8.8452 Å
α = 87.95°, β = 87.95°, γ = 87.95°
Closest atoms and distances in Å follow each position.
Fractional positions:
Tb  0.0000  0.0000  0.0000  6 Nd 3.31
Tb  0.1110  0.4307  0.3530  3 Tb 3.44-3.55, 6 Nd 3.63-3.78, 1 Tm 3.80
Tb  0.3530  0.1110  0.4307  3 Tb 3.44-3.55, 6 Nd 3.63-3.78, 1 Tm 3.80
Tb  0.4307  0.3530  0.1110  3 Tb 3.44-3.55, 6 Nd 3.63-3.78, 1 Tm 3.80
Tb  0.5693  0.6470  0.8890  3 Tb 3.44-3.55, 6 Nd 3.63-3.78, 1 Tm 3.80
Tb  0.6470  0.8890  0.5693  3 Tb 3.44-3.55, 6 Nd 3.63-3.78, 1 Tm 3.80
Tb  0.8890  0.5693  0.6470  3 Tb 3.44-3.55, 6 Nd 3.63-3.78, 1 Tm 3.80
Nd  0.0104  0.8876  0.3611  4 Nd 3.21-3.42, 1 Tb 3.31
Nd  0.1124  0.6389  0.9896  4 Nd 3.21-3.42, 1 Tb 3.31
Nd  0.2267  0.3529  0.7565  3 Nd 3.26-3.42, 1 Tm 3.51, 1 Tb 3.63
Nd  0.2435  0.7733  0.6471  3 Nd 3.26-3.42, 1 Tm 3.51, 1 Tb 3.63
Nd  0.3529  0.7565  0.2267  3 Nd 3.26-3.42, 1 Tm 3.51, 1 Tb 3.63
Nd  0.3611  0.0104  0.8876  4 Nd 3.21-3.42, 1 Tb 3.31
Nd  0.6389  0.9896  0.1124  4 Nd 3.21-3.42, 1 Tb 3.31
Nd  0.6471  0.2435  0.7733  3 Nd 3.26-3.42, 1 Tm 3.51, 1 Tb 3.63
Nd  0.7565  0.2267  0.3529  3 Nd 3.26-3.42, 1 Tm 3.51, 1 Tb 3.63
Nd  0.7733  0.6471  0.2435  3 Nd 3.26-3.42, 1 Tm 3.51, 1 Tb 3.63
Nd  0.8876  0.3611  0.0104  4 Nd 3.21-3.42, 1 Tb 3.31
Nd  0.9896  0.1124  0.6389  4 Nd 3.21-3.42, 1 Tb 3.31
Tm  0.5000  0.5000  0.5000  6 Nd 3.51, 6 Tb 3.80

Summary:
- uncorrected energy (eV per atom) = -4.478
- ρ (g cm⁻³) = 7.24
- symmetry = R-3
- E_form (eV per atom) = 0.227
- E above lowest polymorph (meV per atom) = 3
- N(E_F) (states/eV/cell) = 39.512